Record 1
Below is an optimized crystal structure of HfMgCoAg, with properties calculated at the GGA-PBE level.

Fermi-level density of states	2.80	states/eV/f.u.
energy relative to the elements	-0.044	eV per atom

Lattice parameters (Å, degrees): 4.5655 4.5655 4.5655 60.00 60.00 60.00
Sites, in units of the cell vectors:
Hf 0.0000 0.0000 0.0000
Mg 0.5000 0.5000 0.5000
Co 0.7500 0.7500 0.7500
Ag 0.2500 0.2500 0.2500

***

Record 2
Below is an optimized crystal structure of RbHf2CoAg, with properties calculated at the GGA-PBE level.

Fermi-level density of states	4.09	states/eV/f.u.
energy relative to the elements	0.815	eV per atom

Lattice parameters (Å, degrees): 4.7428 4.7428 6.3299 90.00 90.00 90.00
Sites, in units of the cell vectors:
Rb 0.0000 0.0000 0.0000
Hf 0.0000 0.5000 0.5000
Hf 0.5000 0.0000 0.5000
Co 0.0000 0.0000 0.5000
Ag 0.5000 0.5000 0.0000

***

Record 3
Below is an optimized crystal structure of HfCoRe2Ag, with properties calculated at the GGA-PBE level.

Fermi-level density of states	5.17	states/eV/f.u.
energy relative to the elements	2.467	eV per atom

Lattice parameters (Å, degrees): 4.7478 4.7478 5.0222 90.00 90.00 90.00
Sites, in units of the cell vectors:
Hf 0.0000 0.0000 0.0000
Co 0.5000 0.5000 0.5000
Re 0.0000 0.5000 0.0000
Re 0.5000 0.0000 0.0000
Ag 0.0000 0.0000 0.5000

***

Record 4
Below is an optimized crystal structure of Hf2CoAgSe, with properties calculated at the GGA-PBE level.

ΔE_f (raw)	1417.6	meV/atom
Fermi-level density of states	5.57	states/eV/f.u.

Lattice parameters (Å, degrees): 5.1350 5.1350 4.8265 90.00 90.00 90.00
Sites, in units of the cell vectors:
Hf 0.0000 0.5000 0.0000
Hf 0.5000 0.0000 0.0000
Co 0.0000 0.0000 0.5000
Ag 0.5000 0.5000 0.0000
Se 0.5000 0.5000 0.5000

***

Record 5
Below is an optimized crystal structure of HfTa2CoAg, with properties calculated at the GGA-PBE level.

Fermi-level density of states	3.57	states/eV/f.u.
energy relative to the elements	2.124	eV per atom

Lattice parameters (Å, degrees): 4.9031 4.9031 5.0390 90.00 90.00 90.00
Sites, in units of the cell vectors:
Hf 0.0000 0.0000 0.0000
Ta 0.0000 0.5000 0.0000
Ta 0.5000 0.0000 0.0000
Co 0.5000 0.5000 0.5000
Ag 0.0000 0.0000 0.5000

***

Record 6
Below is an optimized crystal structure of HfZnCoAg, with properties calculated at the GGA-PBE level.

Fermi-level density of states	2.63	states/eV/f.u.
energy relative to the elements	-0.033	eV per atom

Lattice parameters (Å, degrees): 4.4686 4.4686 4.4686 60.00 60.00 60.00
Sites, in units of the cell vectors:
Hf 0.0000 0.0000 0.0000
Zn 0.5000 0.5000 0.5000
Co 0.7500 0.7500 0.7500
Ag 0.2500 0.2500 0.2500

***

Calculated raw total energy in order - -21.681 -26.759 -32.471 -26.260 -32.994 -21.315 eV per cell
Calculated volume in order - 67 142 113 127 121 63 Å³ per cell
Calculated size of the total moment in order - 0.4 0.0 1.3 1.1 2.0 0.4 μB per formula unit